MoPt3F: relaxed, GGA+U.

Lattice parameters (Å, degrees): 4.8398 4.8398 4.8398 90.00 90.00 90.00
Sites, in units of the cell vectors:
Mo 0.0000 0.0000 0.0000
Pt 0.0000 0.0000 0.5000
Pt 0.0000 0.5000 0.0000
Pt 0.5000 0.0000 0.0000
F 0.5000 0.5000 0.5000

Output
Its space-group type is No. 221. The value obtained for the polymorph energy (0 for the lowest one) is 55.2 kJ/mol of atoms. The value obtained for the size of the total moment is 0.000 μB/cell. The calculation puts the total energy at -4.06 eV/atom. The volume comes out at 22.67 Å³/atom. The density of states at the Fermi level is 4.62 states/eV/f.u.